Record 1
# Pr2CBr3 (PBE, relaxed)
data_Pr2CBr3
_cell_length_a 18.386
_cell_length_b 4.063
_cell_length_c 10.933
_cell_angle_alpha 90.00
_cell_angle_beta 107.83
_cell_angle_gamma 90.00
_symmetry_space_group_name_H-M 'C 1 2/m 1'
_symmetry_Int_Tables_number 12
loop_
_symmetry_equiv_pos_as_xyz
'x,y,z'
'-x,-y,-z'
'-x,y,-z'
'x,-y,z'
'x+1/2,y+1/2,z'
'-x+1/2,-y+1/2,-z'
'-x+1/2,y+1/2,-z'
'x+1/2,-y+1/2,z'
loop_
_atom_site_label
_atom_site_type_symbol
_atom_site_fract_x
_atom_site_fract_y
_atom_site_fract_z
_atom_site_occupancy
Pr1 Pr 0.070 0.000 0.210 1
Pr2 Pr 0.119 0.500 0.935 1
C1 C 0.022 0.500 0.061 1
Br1 Br 0.075 0.000 0.719 1
Br2 Br 0.140 0.500 0.405 1
Br3 Br 0.218 0.000 0.130 1
# electronic total energy	-5.30	eV per atom
# E_form (uncorrected)	-1.33	eV per atom
# total magnetization	0.0368	μB/atom
# volume	32.40	Å³ per atom

Record 2
# CdS2O (PBE, relaxed)
data_CdS2O
_cell_length_a 6.294
_cell_length_b 6.294
_cell_length_c 6.294
_cell_angle_alpha 90.00
_cell_angle_beta 90.00
_cell_angle_gamma 90.00
_symmetry_space_group_name_H-M 'F m -3 m'
_symmetry_Int_Tables_number 225
_symmetry_space_group_name_Hall '-F 4 2 3'
loop_
_atom_site_label
_atom_site_type_symbol
_atom_site_fract_x
_atom_site_fract_y
_atom_site_fract_z
_atom_site_occupancy
Cd1 Cd 0.000 0.000 0.000 1
S1 S 0.250 0.250 0.250 1
O1 O 0.000 0.000 0.500 1
# energy relative to the lowest polymorph listed for this composition	0.7430	eV per atom
# electronic total energy	-2.75	eV per atom
# E_form (uncorrected)	0.78	eV per atom
# total magnetization	0.0000	μB/atom
# volume	15.58	Å³ per atom

Record 3
# RbYZn2W (PBE, relaxed)
data_RbYZn2W
_cell_length_a 5.761
_cell_length_b 5.761
_cell_length_c 5.265
_cell_angle_alpha 90.00
_cell_angle_beta 90.00
_cell_angle_gamma 90.00
_symmetry_space_group_name_H-M 'P 4/m m m'
_symmetry_Int_Tables_number 123
_symmetry_space_group_name_Hall '-P 4 2'
loop_
_atom_site_label
_atom_site_type_symbol
_atom_site_fract_x
_atom_site_fract_y
_atom_site_fract_z
_atom_site_occupancy
Rb1 Rb 0.000 0.000 0.000 1
Y1 Y 0.500 0.500 0.500 1
Zn1 Zn 0.000 0.500 0.500 1
W1 W 0.500 0.500 0.000 1
# electronic total energy	-3.27	eV per atom
# formation energy	1.313	eV per atom
# total magnetization	0.4124	μB/atom
# volume	34.95	Å³ per atom